1.
Entry from the Alexandria database: an optimized crystal structure of Sm6TlSb2Te3 (PBE-GGA).

Lattice parameters (Å, degrees): 4.4338 9.0045 9.9948 103.02 102.82 90.00
Fractional positions:
Te 0.5000 0.5000 0.0000
Te 0.8318 0.1672 0.6636
Te 0.1682 0.8328 0.3364
Sm 0.9990 0.7536 0.9979
Sm 0.0010 0.2464 0.0021
Sm 0.3360 0.9127 0.6721
Sm 0.3307 0.4224 0.6613
Sm 0.6693 0.5776 0.3387
Sm 0.6640 0.0873 0.3279
Sb 0.1665 0.3334 0.3330
Sb 0.8335 0.6666 0.6670
Tl 0.5000 0.0000 0.0000

Values from the calculation:
Energy relative to the elements, uncorrected, kJ/mol of atoms: -113
Size of the total moment, μB/f.u.: 0.0
SG: C2/m, No. 12

---

2.
Entry from the Alexandria database: an optimized crystal structure of SmThSb (PBE-GGA).

Lattice parameters (Å, degrees): 4.0722 4.0722 6.1876 109.21 109.21 90.00
Fractional positions:
Sm 0.9310 0.9310 0.8621
Sb 0.2878 0.2878 0.5757
Th 0.6311 0.6311 0.2622

Values from the calculation:
Energy relative to the elements, uncorrected, kJ/mol of atoms: -51
Size of the total moment, μB/f.u.: 0.0
SG: I4mm, No. 107

---

3.
Entry from the Alexandria database: an optimized crystal structure of Sm2ThSb (PBE-GGA).

Lattice parameters (Å, degrees): 3.9746 3.9746 9.9555 78.49 78.49 60.00
Fractional positions:
Sb 0.0000 0.0000 0.0000
Th 0.5000 0.5000 0.5000
Sm 0.7363 0.7363 0.7911
Sm 0.2637 0.2637 0.2089

Values from the calculation:
Energy relative to the elements, uncorrected, kJ/mol of atoms: -29
Size of the total moment, μB/f.u.: 0.0
Energy relative to the lowest polymorph listed for this composition, eV/atom: 0.203
SG: R-3m, No. 166